1.
A geometry-optimized BeRuRh2 structure, computed with GGA-PBE.

```
data_BeRuRh2
_chemical_formula_sum 'Be2 Ru2 Rh4'
_symmetry_space_group_name_H-M 'C m m m'
_symmetry_Int_Tables_number 65
_symmetry_space_group_name_Hall '-C 2 2'
_cell_length_a 5.267
_cell_length_b 7.402
_cell_length_c 2.685
_cell_angle_alpha 90.00
_cell_angle_beta 90.00
_cell_angle_gamma 90.00
loop_
_atom_site_label
_atom_site_type_symbol
_atom_site_fract_x
_atom_site_fract_y
_atom_site_fract_z
_atom_site_occupancy
Be1 Be 0.000 0.000 0.000 1
Ru1 Ru 0.000 0.500 0.000 1
Rh1 Rh 0.250 0.250 0.500 1
```

**Energy of formation from the pure elements**: -0.04 eV/atom
**Size of the total moment**: 0.00 Bohr magnetons per cell

2.
A geometry-optimized BeRuRh structure, computed with GGA-PBE.

```
data_BeRuRh
_chemical_formula_sum 'Be4 Ru4 Rh4'
_symmetry_space_group_name_H-M 'F m m 2'
_symmetry_Int_Tables_number 42
_symmetry_space_group_name_Hall 'F 2 -2'
_cell_length_a 2.792
_cell_length_b 4.492
_cell_length_c 12.005
_cell_angle_alpha 90.00
_cell_angle_beta 90.00
_cell_angle_gamma 90.00
loop_
_atom_site_label
_atom_site_type_symbol
_atom_site_fract_x
_atom_site_fract_y
_atom_site_fract_z
_atom_site_occupancy
Be1 Be 0.000 0.000 0.000 1
Ru1 Ru 0.000 0.000 0.345 1
Rh1 Rh 0.000 0.000 0.650 1
```

**Energy of formation from the pure elements**: 0.06 eV/atom
**Size of the total moment**: 0.00 Bohr magnetons per cell

3.
A geometry-optimized BeRuRh2 structure, computed with GGA-PBE.

```
data_BeRuRh2
_chemical_formula_sum 'Be1 Ru1 Rh2'
_symmetry_space_group_name_H-M 'P m m m'
_symmetry_Int_Tables_number 47
_symmetry_space_group_name_Hall '-P 2 2'
_cell_length_a 2.791
_cell_length_b 4.324
_cell_length_c 4.370
_cell_angle_alpha 90.00
_cell_angle_beta 90.00
_cell_angle_gamma 90.00
loop_
_atom_site_label
_atom_site_type_symbol
_atom_site_fract_x
_atom_site_fract_y
_atom_site_fract_z
_atom_site_occupancy
Be1 Be 0.000 0.000 0.000 1
Ru1 Ru 0.500 0.000 0.500 1
Rh1 Rh 0.000 0.500 0.500 1
Rh2 Rh 0.500 0.500 0.000 1
```

**Energy of formation from the pure elements**: 0.11 eV/atom
**Size of the total moment**: 0.61 Bohr magnetons per cell